No. 1
# Er5ScCd6 GGA-PBE relaxed
# Calculated formation energy   -357 kJ/mol of formula units
# Final energy   -3.195 eV per atom
data_Er5ScCd6
_cell_length_a 5.197
_cell_length_b 7.377
_cell_length_c 8.239
_cell_angle_alpha 90.00
_cell_angle_beta 108.24
_cell_angle_gamma 90.00
_symmetry_space_group_name_H-M 'P 1 2/m 1'
_symmetry_Int_Tables_number 10
loop_
_symmetry_equiv_pos_as_xyz
'x,y,z'
'-x,-y,-z'
'-x,y,-z'
'x,-y,z'
loop_
_atom_site_label
_atom_site_fract_x
_atom_site_fract_y
_atom_site_fract_z
_atom_site_occupancy
Er1 0.000 0.000 0.000 1
Er2 0.331 0.000 0.663 1
Er3 0.334 0.500 0.668 1
Sc1 0.000 0.500 0.000 1
Cd1 0.163 0.256 0.326 1
Cd2 0.500 0.257 0.000 1

No. 2
# Er2Sc8Cd GGA-PBE relaxed
# Calculated formation energy   130 kJ/mol of formula units
# Final energy   -5.395 eV per atom
data_Er2Sc8Cd
_cell_length_a 17.425
_cell_length_b 6.349
_cell_length_c 5.233
_cell_angle_alpha 90.00
_cell_angle_beta 92.81
_cell_angle_gamma 90.00
_symmetry_space_group_name_H-M 'C 1 2/m 1'
_symmetry_Int_Tables_number 12
loop_
_symmetry_equiv_pos_as_xyz
'x,y,z'
'-x,-y,-z'
'-x,y,-z'
'x,-y,z'
'x+1/2,y+1/2,z'
'-x+1/2,-y+1/2,-z'
'-x+1/2,y+1/2,-z'
'x+1/2,-y+1/2,z'
loop_
_atom_site_label
_atom_site_fract_x
_atom_site_fract_y
_atom_site_fract_z
_atom_site_occupancy
Er1 0.221 0.000 0.256 1
Sc1 0.050 0.000 0.231 1
Sc2 0.123 0.236 0.737 1
Sc3 0.171 0.500 0.229 1
Cd1 0.000 0.500 0.000 1

No. 3
# ErScCd3 GGA-PBE relaxed
# Calculated formation energy   173 kJ/mol of formula units
# Final energy   -2.369 eV per atom
# E above lowest polymorph   569 meV/atom
data_ErScCd3
_cell_length_a 5.561
_cell_length_b 5.561
_cell_length_c 21.766
_cell_angle_alpha 90.00
_cell_angle_beta 90.00
_cell_angle_gamma 90.00
_symmetry_space_group_name_H-M 'I -4 m 2'
_symmetry_Int_Tables_number 119
_symmetry_space_group_name_Hall 'I -4 -2'
loop_
_atom_site_label
_atom_site_fract_x
_atom_site_fract_y
_atom_site_fract_z
_atom_site_occupancy
Er1 0.000 0.000 0.000 1
Er2 0.000 0.500 0.250 1
Sc1 0.000 0.000 0.423 1
Cd1 0.000 0.249 0.126 1
Cd2 0.000 0.500 0.543 1

Among the records above, which one has the highest final energy?
ErScCd3

Please write out number 1 again, unchanged.
# Er5ScCd6 GGA-PBE relaxed
# Calculated formation energy   -357 kJ/mol of formula units
# Final energy   -3.195 eV per atom
data_Er5ScCd6
_cell_length_a 5.197
_cell_length_b 7.377
_cell_length_c 8.239
_cell_angle_alpha 90.00
_cell_angle_beta 108.24
_cell_angle_gamma 90.00
_symmetry_space_group_name_H-M 'P 1 2/m 1'
_symmetry_Int_Tables_number 10
loop_
_symmetry_equiv_pos_as_xyz
'x,y,z'
'-x,-y,-z'
'-x,y,-z'
'x,-y,z'
loop_
_atom_site_label
_atom_site_fract_x
_atom_site_fract_y
_atom_site_fract_z
_atom_site_occupancy
Er1 0.000 0.000 0.000 1
Er2 0.331 0.000 0.663 1
Er3 0.334 0.500 0.668 1
Sc1 0.000 0.500 0.000 1
Cd1 0.163 0.256 0.326 1
Cd2 0.500 0.257 0.000 1